Density functional theory data (PBE) for a geometry-optimized TcTeBr2 structure.

a = 9.3447 Å, b = 9.3447 Å, c = 5.1273 Å
α = 90.00°, β = 90.00°, γ = 90.00°
Space group I-42d (No. 122)
Symmetry-distinct sites (fractional):
Tc  0.0000  0.0000  0.0000 x4
Te  0.0000  0.0000  0.5000 x4
Br  0.1113  0.7500  0.1250 x8

Computed properties:
Its formation energy without anion corrections is 0.1707 eV per atom. Its magnetization is 0.00 μB per formula unit. For the excess energy over the best structure of this formula in the dataset, the calculation gives 224.3 meV/atom. Its total energy is -4.043 eV per atom.

Density functional theory data (PBE) for a geometry-optimized TcTe2Br structure.

a = 3.6262 Å, b = 3.6262 Å, c = 7.8228 Å
α = 90.00°, β = 90.00°, γ = 90.00°
Space group P4mm (No. 99)
Symmetry-distinct sites (fractional):
Tc  0.0000  0.0000  0.0000 x1
Te  0.0000  0.0000  0.3596 x1
Te  0.5000  0.5000  0.1257 x1
Br  0.5000  0.5000  0.7359 x1

Computed properties:
Its formation energy without anion corrections is 0.4108 eV per atom. Its magnetization is 0.00 μB per formula unit. For the excess energy over the best structure of this formula in the dataset, the calculation gives 597.1 meV/atom. Its total energy is -4.170 eV per atom.

Density functional theory data (PBE) for a geometry-optimized Tc3TeBr structure.

a = 5.0300 Å, b = 5.0300 Å, c = 5.0300 Å
α = 90.00°, β = 90.00°, γ = 90.00°
Space group Pm-3m (No. 221)
Symmetry-distinct sites (fractional):
Tc  0.0000  0.0000  0.5000 x3
Te  0.0000  0.0000  0.0000 x1
Br  0.5000  0.5000  0.5000 x1

Computed properties:
Its formation energy without anion corrections is 1.8766 eV per atom. Its magnetization is 7.05 μB per formula unit. For the excess energy over the best structure of this formula in the dataset, the calculation gives 290.7 meV/atom. Its total energy is -5.306 eV per atom.

Density functional theory data (PBE) for a geometry-optimized TcTeBr2 structure.

a = 3.1557 Å, b = 3.1557 Å, c = 10.3249 Å
α = 90.00°, β = 90.00°, γ = 90.00°
Space group P4/mmm (No. 123)
Symmetry-distinct sites (fractional):
Tc  0.0000  0.0000  0.0000 x1
Te  0.0000  0.0000  0.5000 x1
Br  0.5000  0.5000  0.1518 x2

Computed properties:
Its formation energy without anion corrections is 0.3977 eV per atom. Its magnetization is 0.00 μB per formula unit. For the excess energy over the best structure of this formula in the dataset, the calculation gives 451.4 meV/atom. Its total energy is -3.816 eV per atom.